Entry from the Alexandria database: a geometry-optimized CaCuI2O8 structure (PBE).

abc: 6.1602 6.1602 6.1602
angles: 108.08 108.08 112.28
Element x y z (fractional)
Ca 0.0000 0.0000 0.0000
Cu 0.2500 0.7500 0.5000
I 0.5000 0.5000 0.0000
I 0.7500 0.2500 0.5000
O 0.3216 0.1201 0.7985
O 0.3216 0.5231 0.2015
O 0.3864 0.0759 0.3105
O 0.4769 0.6784 0.7985
O 0.7654 0.0759 0.6895
O 0.8799 0.6784 0.2015
O 0.9241 0.2346 0.3105
O 0.9241 0.6136 0.6895

Values from the calculation:
formation energy (no corrections) = -562 meV per atom
ρ = 4.49 g cm⁻³
space group = No. 119
density of states at the Fermi level = 3.8 states/eV/cell

***

Entry from the Alexandria database: a geometry-optimized InTc2Os structure (PBE).

abc: 5.0436 5.0436 5.0436
angles: 135.08 135.08 65.40
Element x y z (fractional)
In 0.0000 0.0000 0.0000
Tc 0.2500 0.7500 0.5000
Tc 0.7500 0.2500 0.5000
Os 0.5000 0.5000 0.0000

Values from the calculation:
ρ = 13.20 g cm⁻³
ΔE_f = 1.6 eV per formula unit
space group = No. 139
density of states at the Fermi level = 4.8 states/eV/cell

***

The highest density of states at the Fermi level belongs to which entry?
InTc2Os